Material: CsK3Na
Method: DFT, PBEsol
State: relaxed

**VASP energy**: -0.040 Ha/atom
**DOS(E_F)**: 3.771 states/eV/cell
**Energy of formation**: 0.07 eV per atom

```
data_CsK3Na
_chemical_formula_sum 'Cs1 K3 Na1'
_cell_length_a 7.2689
_cell_length_b 7.2689
_cell_length_c 7.2689
_cell_angle_alpha 90.00
_cell_angle_beta 90.00
_cell_angle_gamma 90.00
_symmetry_space_group_name_H-M 'P 1'
_symmetry_Int_Tables_number 1
loop_
_symmetry_equiv_pos_as_xyz
'x,y,z'
loop_
_atom_site_label
_atom_site_fract_x
_atom_site_fract_y
_atom_site_fract_z
K1 0.0000 0.5000 0.0000
K2 0.5000 0.0000 0.0000
K3 0.0000 0.0000 0.5000
Cs1 0.5000 0.5000 0.5000
Na1 0.0000 0.0000 0.0000
```